VASP calculation (PBE) on Pb3BrO2 after structural relaxation.

Summary:
Its calculated volume is 26.43 Å³/atom. Its space-group type is Cmcm (63). The calculation puts the total energy at -4.693 eV/atom. Its crystal system is orthorhombic.

Lattice parameters (Å, degrees): 5.832 8.809 7.584 125.50 90.00 90.00
Sites, in units of the cell vectors:
Pb (0.250, 0.591, 0.792)
Pb (0.250, 0.101, 0.201)
Pb (0.750, 0.899, 0.799)
Pb (0.750, 0.409, 0.208)
Pb (0.250, 0.201, 0.792)
Pb (0.750, 0.799, 0.208)
Br (0.250, 0.724, 0.448)
Br (0.750, 0.276, 0.552)
O (0.500, 0.832, 0.000)
O (0.000, 0.832, 0.000)
O (0.500, 0.168, 0.000)
O (0.000, 0.168, 0.000)